Record 1
Hf4Sn3H | GGA-PBE | relaxed

```
Hf4Sn3H
1.0
-4.117 3.533 1.003
-4.815 -5.729 0.417
1.481 -0.639 8.326
Hf Sn H
8 6 2
Direct
0.067 0.189 0.816 Hf
0.636 0.157 0.500 Hf
0.558 0.086 0.000 Hf
0.567 0.811 0.316 Hf
0.136 0.843 0.000 Hf
0.067 0.189 0.184 Hf
0.567 0.811 0.684 Hf
0.058 0.914 0.500 Hf
0.059 0.605 0.718 Sn
0.559 0.395 0.782 Sn
0.646 0.697 0.000 Sn
0.559 0.395 0.218 Sn
0.059 0.605 0.282 Sn
0.146 0.303 0.500 Sn
0.422 0.942 0.500 H
0.922 0.058 0.000 H
```

=====

Record 2
MgTa2P | GGA-PBE | relaxed

```
MgTa2P
1.0
-3.575 -0.289 2.066
-1.090 -3.053 -2.313
1.685 -2.541 2.561
Ta Mg P
2 1 1
Direct
0.000 0.500 0.500 Ta
0.000 0.000 0.000 Ta
0.500 0.500 0.000 Mg
0.500 0.000 0.500 P
```

Computed properties:
ΔH_f (0 K) (kJ/mol of formula units): 47
Distance to the lowest polymorph of the same formula (eV per atom): 0.2198

=====

Record 3
Li2ZnGe | GGA-PBE | relaxed

```
Li2ZnGe
1.0
-0.512 -3.015 0.115
2.842 -0.521 -1.008
2.129 -0.130 6.069
Li Zn Ge
2 1 1
Direct
0.000 0.000 0.747 Li
0.000 0.000 0.253 Li
0.500 0.500 0.000 Zn
0.500 0.500 0.500 Ge
```

Computed properties:
ΔH_f (0 K) (kJ/mol of formula units): -78

=====

The V results, record by record, are as follows: 21.92 16.41 15.06 Å³ per atom.
The magnetization results, record by record, are as follows: 0.0 0.0 0.0 Bohr magnetons per cell.
The uncorrected energy results, record by record, are as follows: -0.5056 -0.5554 -0.1935 Ry per atom.